No. 1
20
Lattice="5.973 0.000 -2.371 0.000 4.393 0.000 -4.952 0.000 12.243" Properties=species:S:1:pos:R:3 comment="BaH6Au3 GGA-PBE optimized geometry" total_energy_ev_per_atom=-3.254 spacegroup="P2_1/c (14)" pbc="T T T"
H 2.651 0.762 0.034
H -1.630 3.631 9.838
H 0.704 2.108 1.642
H 4.664 2.171 -1.203
H -0.798 0.025 6.104
H -2.812 1.435 7.341
H 1.214 0.089 6.578
H 0.317 2.286 8.231
H 1.819 4.368 3.769
H 3.832 2.959 2.531
H -3.644 2.222 11.076
H -0.194 4.304 3.295
Au -2.476 0.000 6.122
Au 2.325 2.416 1.922
Au 4.158 0.219 0.643
Au -3.138 4.174 9.229
Au 2.986 2.197 -1.186
Au -1.304 1.978 7.950
Ba 0.510 2.197 4.936
Ba 0.000 0.000 0.000

No. 2
4
Lattice="0.000 3.546 3.546 3.546 0.000 3.546 3.546 3.546 0.000" Properties=species:S:1:pos:R:3 comment="MgTl2H GGA-PBE optimized geometry" total_energy_ev_per_atom=-2.010 spacegroup="Fm-3m (225)" pbc="T T T"
Tl 1.773 1.773 1.773
Tl 5.319 5.319 5.319
H 0.000 0.000 0.000
Mg 3.546 3.546 3.546

No. 3
20
Lattice="1.010 9.197 -2.578 -0.146 -3.284 -8.001 -8.252 0.559 2.532" Properties=species:S:1:pos:R:3 comment="LaNd6Dy2Mg GGA-PBE optimized geometry" formation_energy_ev_per_atom=0.101 spacegroup="C2/c (15)" pbc="T T T"
La -6.963 7.205 -0.092
La -0.425 -0.733 -7.954
Nd -3.487 3.186 0.063
Nd -1.392 5.632 -9.080
Nd -7.893 0.341 -2.289
Nd -3.785 7.551 -3.534
Nd 0.505 6.131 -5.758
Nd -5.001 4.421 -3.329
Nd -5.995 0.839 1.033
Nd -0.179 2.920 -7.157
Nd -3.900 3.285 -8.110
Nd -7.208 3.552 -0.890
Nd -3.603 -1.079 -4.513
Nd -2.386 2.050 -4.718
Dy -1.653 4.946 -2.474
Dy -5.767 6.379 -6.163
Dy -5.734 1.525 -5.572
Dy -1.621 0.093 -1.884
Mg -4.750 1.318 -2.335
Mg -2.638 5.154 -5.712

No. 4
12
Lattice="3.004 0.000 0.000 0.000 9.136 0.000 0.000 -4.568 7.912" Properties=species:S:1:pos:R:3 comment="CeZn9Cd2 GGA-PBE optimized geometry" formation_energy_ev_per_atom=0.011 spacegroup="P6/mmm (191)" pbc="T T T"
Zn 0.000 4.568 0.000
Zn 1.502 6.733 1.387
Zn 1.502 2.403 1.387
Zn 0.000 -2.284 3.956
Zn 1.502 -2.165 6.524
Zn 1.502 0.000 2.775
Zn 0.000 2.284 3.956
Zn 1.502 4.568 5.137
Zn 1.502 2.165 6.524
Cd 0.000 4.568 2.637
Cd 0.000 0.000 5.274
Ce 0.000 0.000 0.000

No. 5
4
Lattice="-0.392 3.661 1.061 -1.303 0.890 -3.552 -3.640 -0.724 1.154" Properties=species:S:1:pos:R:3 comment="Mn2GaPd GGA-PBE optimized geometry" formation_energy_ev_per_atom=-0.170 spacegroup="P4/mmm (123)" pbc="T T T"
Mn -0.652 0.445 -1.776
Mn -1.820 -0.362 0.577
Ga -2.667 1.913 -0.668
Pd -0.196 1.830 0.530

No. 6
20
Lattice="6.561 0.000 0.011 0.000 6.138 0.000 0.079 0.000 8.983" Properties=species:S:1:pos:R:3 comment="TiTl2GaF6 GGA-PBE optimized geometry" spacegroup="P2_1/c (14)" formation_energy_uncorrected_ev_per_atom=-2.368 pbc="T T T"
Tl 6.566 6.027 2.232
Tl 0.074 0.112 6.762
Tl 3.315 2.957 2.275
Tl 3.325 3.181 6.719
Ga 0.039 3.069 4.492
Ga 3.281 0.000 0.005
F 2.919 0.230 6.437
F 5.074 1.913 8.614
F 2.112 4.553 4.352
F 1.566 4.225 0.380
F 6.160 2.839 1.950
F 4.528 1.586 4.642
F 3.721 5.908 2.557
F 5.432 4.655 8.849
F 1.754 1.156 4.117
F 4.886 4.983 4.877
F 1.208 1.484 0.145
F 0.480 3.299 7.044
Ti 0.000 3.069 0.000
Ti 3.320 0.000 4.497

No. 7
5
Lattice="-2.737 1.101 2.530 1.455 -2.451 2.642 3.618 4.334 2.029" Properties=species:S:1:pos:R:3 comment="CuTeAuN2 GGA-PBE optimized geometry" spacegroup="P4/mmm (123)" formation_energy_uncorrected_ev_per_atom=1.447 pbc="T T T"
N 0.728 -1.226 1.321
N -1.369 0.550 1.265
Au 1.168 1.492 3.600
Cu 0.000 0.000 0.000
Te 1.809 2.167 1.014

No. 8
4
Lattice="-0.573 -4.550 -1.735 0.890 -3.857 2.893 -3.712 -2.780 1.590" Properties=species:S:1:pos:R:3 comment="KTlMo2 GGA-PBE optimized geometry" formation_energy_ev_per_atom=1.782 spacegroup="Fm-3m (225)" pbc="T T T"
Mo -0.849 -2.797 0.687
Mo -2.546 -8.391 2.061
Tl -1.698 -5.594 1.374
K 0.000 0.000 0.000

No. 9
8
Lattice="-2.521 3.219 1.132 -3.984 -3.310 0.538 2.510 0.367 4.548" Properties=species:S:1:pos:R:3 comment="VZnRu2 GGA-PBE optimized geometry" formation_energy_ev_per_atom=-0.219 spacegroup="Cmcm (63)" pbc="T T T"
V -3.532 0.430 2.833
V -0.463 -0.155 3.385
Zn -3.796 -2.042 1.326
Zn -0.199 2.317 4.892
Ru -1.491 2.095 2.645
Ru -1.792 -0.398 1.116
Ru -2.504 -1.820 3.573
Ru -2.204 0.673 5.103

No. 10
20
Lattice="3.735 0.000 0.000 0.000 7.582 0.000 0.000 0.000 13.012" Properties=species:S:1:pos:R:3 comment="PuMnS3 GGA-PBE optimized geometry" spacegroup="Pnma (62)" formation_energy_uncorrected_ev_per_atom=-1.114 pbc="T T T"
S 2.801 4.954 6.399
S 0.934 6.419 12.906
S 0.934 7.445 5.039
S 2.801 6.184 2.763
S 2.801 1.163 0.107
S 2.801 2.393 3.743
S 0.934 1.398 10.249
S 0.934 5.189 9.269
S 0.934 3.654 1.467
S 2.801 0.137 7.973
S 2.801 3.928 11.545
S 0.934 2.628 6.613
Mn 2.801 1.237 5.807
Mn 0.934 2.554 12.314
Mn 0.934 6.345 7.205
Mn 2.801 5.028 0.699
Pu 2.801 3.023 8.754
Pu 2.801 6.814 10.765
Pu 0.934 4.559 4.259
Pu 0.934 0.768 2.247